No. 1
Na3Cd8Pb3: optimized geometry, PBE-GGA.

Properties
Excess energy over the best structure of this formula in the dataset   0.4 kJ per mole of atoms
Density   6.952 g cm⁻³
Symmetry   Immm, No. 71
Total DFT energy (no corrections)   -1.639 eV per atom

Lattice parameters (Å, degrees): 9.200 9.200 9.200 149.63 95.43 92.44
Fractional coordinates of all 14 atoms:
Na (0.000, 0.000, 0.000)
Na (0.290, 0.290, 0.000)
Na (0.710, 0.710, 0.000)
Cd (0.024, 0.637, 0.387)
Cd (0.097, 0.837, 0.261)
Cd (0.250, 0.637, 0.613)
Cd (0.424, 0.163, 0.261)
Cd (0.576, 0.837, 0.739)
Cd (0.750, 0.363, 0.387)
Cd (0.903, 0.163, 0.739)
Cd (0.976, 0.363, 0.613)
Pb (0.317, 0.500, 0.817)
Pb (0.500, 0.000, 0.500)
Pb (0.683, 0.500, 0.183)

***

No. 2
Na3Cd3Pb8: optimized geometry, PBE-GGA.

Properties
Density   8.040 g cm⁻³
Symmetry   Immm, No. 71
Total DFT energy (no corrections)   -2.657 eV per atom

Lattice parameters (Å, degrees): 9.649 9.649 9.649 150.17 102.37 85.31
Fractional coordinates of all 14 atoms:
Na (0.000, 0.000, 0.000)
Na (0.277, 0.277, 0.000)
Na (0.723, 0.723, 0.000)
Cd (0.365, 0.500, 0.865)
Cd (0.500, 0.000, 0.500)
Cd (0.635, 0.500, 0.135)
Pb (0.017, 0.380, 0.637)
Pb (0.148, 0.847, 0.301)
Pb (0.257, 0.620, 0.637)
Pb (0.454, 0.153, 0.301)
Pb (0.546, 0.847, 0.699)
Pb (0.743, 0.380, 0.363)
Pb (0.852, 0.153, 0.699)
Pb (0.983, 0.620, 0.363)

***

No. 3
Na2Cd3Pb2: optimized geometry, PBE-GGA.

Properties
Excess energy over the best structure of this formula in the dataset   1.6 kJ per mole of atoms
Density   7.020 g cm⁻³
Symmetry   Cmmm, No. 65
Total DFT energy (no corrections)   -1.876 eV per atom

Lattice parameters (Å, degrees): 11.529 11.529 3.342 90.00 90.00 154.86
Fractional coordinates of all 7 atoms:
Na (0.142, 0.858, 0.000)
Na (0.858, 0.142, 0.000)
Cd (0.000, 0.000, 0.000)
Cd (0.435, 0.565, 0.500)
Cd (0.565, 0.435, 0.500)
Pb (0.294, 0.706, 0.500)
Pb (0.706, 0.294, 0.500)

***

No. 4
Na2CdPb: optimized geometry, PBE-GGA.

Properties
Density   5.163 g cm⁻³
Symmetry   Cmcm, No. 63
Total DFT energy (no corrections)   -1.964 eV per atom

Lattice parameters (Å, degrees): 6.321 6.321 5.996 90.00 90.00 79.03
Fractional coordinates of all 8 atoms:
Na (0.021, 0.347, 0.250)
Na (0.347, 0.021, 0.750)
Na (0.653, 0.979, 0.250)
Na (0.979, 0.653, 0.750)
Cd (0.500, 0.500, 0.000)
Cd (0.500, 0.500, 0.500)
Pb (0.180, 0.820, 0.250)
Pb (0.820, 0.180, 0.750)

***

Q: Which of these has the lowest density?
A: Na2CdPb

***

Q: Which of these has the lowest density?
A: Na2CdPb